Entry 1:
{"formula": "Sr3ZrW", "functional": "GGA-PBE", "state": "relaxed", "e_above_lowest_polymorph_mev_per_atom": 0, "formation_energy_ev_per_atom": 1.578, "total_energy_ev_per_atom": -3.7318, "rho_g_cm3": 4.63, "volume_a3_per_atom": 38.54, "lattice_angstrom": [[-0.743, -0.899, -5.657], [-0.191, -5.698, 0.930], [-5.725, 0.307, 0.703]], "species": ["Sr", "Sr", "Sr", "Zr", "W"], "fractional_positions": [[0.000, 0.500, 0.000], [0.000, 0.000, 0.500], [0.500, 0.000, 0.000], [0.500, 0.500, 0.500], [0.000, 0.000, 0.000]]}

Entry 2:
{"formula": "Gd2PaGe", "functional": "GGA-PBE", "state": "relaxed", "e_above_lowest_polymorph_mev_per_atom": 0, "formation_energy_ev_per_atom": -0.193, "total_energy_ev_per_atom": -10.7617, "rho_g_cm3": 10.27, "volume_a3_per_atom": 24.99, "lattice_angstrom": [[-0.220, -1.454, -3.447], [-2.735, -2.293, 1.142], [-4.847, 4.906, -1.760]], "species": ["Pa", "Gd", "Gd", "Ge"], "fractional_positions": [[0.500, 0.500, 0.500], [0.000, 0.000, 0.217], [0.000, 0.000, 0.783], [0.500, 0.500, 0.000]]}